[1]
Sc2UHg: optimized geometry, GGA-PBE.

a b c (Å): 3.1372 3.1372 9.0247
angles (deg): 90.00 90.00 90.00
Positions (direct):
Sc1 0.0000 0.0000 0.2384
Sc2 0.0000 0.0000 0.7616
U1 0.5000 0.5000 0.5000
Hg1 0.5000 0.5000 0.0000

Results
Volume (Å³ per cell): 89
Total DFT energy (no corrections) (eV for the cell shown): -24.41
Space-group type: No. 123
ΔE_f (eV per atom): -0.04

=====

[2]
TiZn2Sn2: optimized geometry, GGA-PBE.

a b c (Å): 7.1748 7.1748 3.8404
angles (deg): 90.00 90.00 90.00
Positions (direct):
Ti1 0.0000 0.0000 0.0000
Ti2 0.5000 0.5000 0.0000
Zn1 0.1271 0.3729 0.0000
Zn2 0.3729 0.8729 0.0000
Zn3 0.6271 0.1271 0.0000
Zn4 0.8729 0.6271 0.0000
Sn1 0.1748 0.6748 0.5000
Sn2 0.3252 0.1748 0.5000
Sn3 0.6748 0.8252 0.5000
Sn4 0.8252 0.3252 0.5000

Results
Volume (Å³ per cell): 198
Total DFT energy (no corrections) (eV for the cell shown): -35.98
Polymorph energy (0 for the lowest one) (eV per atom): 0.000
Space-group type: No. 127
ΔE_f (eV per atom): 0.09

=====

[3]
Mg2ZnCu: optimized geometry, GGA-PBE.

a b c (Å): 4.8037 4.8037 5.0952
angles (deg): 103.03 103.03 37.74
Positions (direct):
Mg1 0.2436 0.2436 0.2437
Mg2 0.7564 0.7564 0.7563
Zn1 0.0000 0.0000 0.5000
Cu1 0.5000 0.5000 0.0000

Results
Volume (Å³ per cell): 70
Total DFT energy (no corrections) (eV for the cell shown): -8.40
Space-group type: No. 12
ΔE_f (eV per atom): 0.04